Record 1
DFT (PBE-GGA) results for a relaxed KAl2SnCl8 crystal.

```
KAl2SnCl8
1.0
3.285 1.896 10.352
-3.285 1.896 10.352
0.000 -3.793 10.352
K Al Sn Cl
1 2 1 8
Cartesian
0.000 0.000 0.000
0.000 0.000 8.054
0.000 0.000 23.003
0.000 0.000 15.528
-2.389 -0.050 13.338
-1.151 -2.094 17.719
0.000 0.000 10.208
1.237 -2.044 13.338
-1.237 2.044 17.719
0.000 0.000 20.849
1.151 2.094 13.338
2.389 0.050 17.719
```

Output
Density of states at the Fermi level in states/eV/atom: 0.5585
Crystal system: trigonal
Total magnetic moment in μB per formula unit: 1.00
Raw total energy in eV per atom: -3.6478
Calculated volume in Å³/f.u.: 386.9
ΔE_f (raw) in eV/atom: -1.368
Symmetry: R-3

=====

Record 2
DFT (PBE-GGA) results for a relaxed KSr2AlCl8 crystal.

```
KSr2AlCl8
1.0
6.361 0.000 0.000
0.000 8.827 0.000
-0.095 0.000 6.498
K Sr Al Cl
1 2 1 8
Cartesian
0.000 0.000 0.000
3.133 2.278 3.249
3.133 6.548 3.249
0.000 4.413 0.000
1.253 2.742 1.028
1.253 6.084 1.028
1.493 4.413 4.614
1.686 0.000 4.148
4.580 0.000 2.351
4.773 4.413 1.884
5.013 2.742 5.471
5.013 6.084 5.471
```

Output
Density of states at the Fermi level in states/eV/atom: 0.0000
Crystal system: monoclinic
Total magnetic moment in μB per formula unit: 0.00
Raw total energy in eV per atom: -3.9282
Calculated volume in Å³/f.u.: 364.9
ΔE_f (raw) in eV/atom: -2.013
Symmetry: P2/m

=====

Record 3
DFT (PBE-GGA) results for a relaxed KAl2TlCl8 crystal.

```
KAl2TlCl8
1.0
3.416 1.972 9.370
-3.416 1.972 9.370
0.000 -3.944 9.370
K Al Tl Cl
1 2 1 8
Cartesian
0.000 0.000 0.000
0.000 0.000 6.797
0.000 0.000 21.314
0.000 0.000 14.055
-1.407 -1.611 11.228
0.000 0.000 4.648
-2.099 0.413 16.883
-0.692 2.024 11.228
0.692 -2.024 16.883
2.099 -0.413 11.228
0.000 0.000 23.462
1.407 1.611 16.883
```

Output
Density of states at the Fermi level in states/eV/atom: 0.0000
Crystal system: trigonal
Total magnetic moment in μB per formula unit: 0.00
Raw total energy in eV per atom: -3.7358
Calculated volume in Å³/f.u.: 378.8
ΔE_f (raw) in eV/atom: -1.592
Symmetry: R-3

=====

Record 4
DFT (PBE-GGA) results for a relaxed KAlVCl6 crystal.

```
KAlVCl6
1.0
6.318 0.000 0.000
-3.159 5.471 0.000
0.000 0.000 14.036
K Al V Cl
2 2 2 12
Cartesian
0.000 0.000 0.000
0.000 0.000 7.018
0.000 3.648 3.509
3.159 1.824 10.527
0.000 3.648 10.527
3.159 1.824 3.509
-1.093 2.058 2.159
-1.923 3.496 4.859
1.093 2.058 4.859
-0.830 5.389 2.159
2.329 0.082 9.177
1.236 1.975 11.876
1.923 3.496 2.159
0.830 5.389 4.859
3.989 0.082 11.876
2.066 3.413 9.177
5.082 1.975 9.177
4.252 3.413 11.876
```

Output
Crystal system: trigonal
Total magnetic moment in μB per formula unit: 3.00
Raw total energy in eV per atom: -4.2912
Calculated volume in Å³/f.u.: 242.6
ΔE_f (raw) in eV/atom: -1.509
Symmetry: P-31c

=====

Record 5
DFT (PBE-GGA) results for a relaxed KAl2ZnCl8 crystal.

```
KAl2ZnCl8
1.0
3.270 1.888 9.479
-3.270 1.888 9.479
0.000 -3.776 9.479
K Al Zn Cl
1 2 1 8
Cartesian
0.000 0.000 0.000
0.000 0.000 7.144
0.000 0.000 21.294
0.000 0.000 14.219
-2.332 -0.057 12.487
-1.117 -2.048 15.951
0.000 0.000 9.299
1.215 -1.991 12.487
-1.215 1.991 15.951
0.000 0.000 19.139
1.117 2.048 12.487
2.332 0.057 15.951
```

Output
Density of states at the Fermi level in states/eV/atom: 0.1104
Crystal system: trigonal
Total magnetic moment in μB per formula unit: 1.01
Raw total energy in eV per atom: -3.4573
Calculated volume in Å³/f.u.: 351.2
ΔE_f (raw) in eV/atom: -1.405
Symmetry: R-3

=====

Record 6
DFT (PBE-GGA) results for a relaxed LaAl2Cl8 crystal.

```
LaAl2Cl8
1.0
6.864 -4.334 0.000
6.864 4.334 0.000
-1.207 0.000 6.590
La Al Cl
1 2 8
Cartesian
0.000 0.000 0.000
1.854 0.000 4.350
10.668 0.000 2.240
5.046 2.651 1.577
1.988 0.000 2.140
7.475 2.651 5.013
3.811 0.000 5.140
8.711 0.000 1.450
5.046 -2.651 1.577
10.534 0.000 4.449
7.475 -2.651 5.013
```

Output
Density of states at the Fermi level in states/eV/atom: 0.4676
Crystal system: monoclinic
Total magnetic moment in μB per formula unit: 1.10
Raw total energy in eV per atom: -4.1033
Calculated volume in Å³/f.u.: 392.1
ΔE_f (raw) in eV/atom: -1.632
Symmetry: C2/m